1.
First-principles (GGA-PBE) data for crystalline BaLiAcAu at its relaxed geometry, as listed in Alexandria via LeMat-Bulk.

Properties
Crystal system: cubic
Calculated formation energy, kcal/mol of atoms: -6.151

a = 8.0392 Å, b = 8.0392 Å, c = 8.0392 Å
α = 90.00°, β = 90.00°, γ = 90.00°
Space group F-43m (No. 216)
Symmetry-distinct sites (fractional):
Ba 0.0000 0.0000 0.0000 [4 per cell]
Li 0.2500 0.2500 0.7500 [4 per cell]
Ac 0.0000 0.0000 0.5000 [4 per cell]
Au 0.2500 0.2500 0.2500 [4 per cell]

=====

2.
First-principles (GGA-PBE) data for crystalline BaNaAc2Au4 at its relaxed geometry, as listed in Alexandria via LeMat-Bulk.

Properties
Crystal system: trigonal
Calculated formation energy, kcal/mol of atoms: -14.864

a = 5.4303 Å, b = 5.4303 Å, c = 27.1607 Å
α = 90.00°, β = 90.00°, γ = 120.00°
Space group R-3m (No. 166, hexagonal axes)
Symmetry-distinct sites (fractional):
Ba 0.0000 0.0000 0.0000 [3 per cell]
Na 0.0000 0.0000 0.5000 [3 per cell]
Ac 0.0000 0.0000 0.2417 [6 per cell]
Au 0.0000 0.0000 0.1236 [6 per cell]
Au 0.0000 0.0000 0.3814 [6 per cell]

=====

3.
First-principles (GGA-PBE) data for crystalline BaAc2AuO6 at its relaxed geometry, as listed in Alexandria via LeMat-Bulk.

Properties
Formation energy from raw total energies, eV per atom: -2.033
Crystal system: tetragonal

a = 5.7205 Å, b = 5.7205 Å, c = 6.6700 Å
α = 90.00°, β = 90.00°, γ = 90.00°
Space group P4mm (No. 99)
Symmetry-distinct sites (fractional):
Ba 0.0000 0.0000 0.0000 [1 per cell]
Ac 0.0000 0.5000 0.4596 [2 per cell]
Au 0.5000 0.5000 0.2122 [1 per cell]
O 0.0000 0.0000 0.6089 [1 per cell]
O 0.2526 0.2526 0.2360 [4 per cell]
O 0.5000 0.5000 0.5784 [1 per cell]

=====

4.
First-principles (GGA-PBE) data for crystalline Ba3Ac3AuO8 at its relaxed geometry, as listed in Alexandria via LeMat-Bulk.

Properties
Formation energy from raw total energies, eV per atom: -2.399
Crystal system: monoclinic

a = 12.7930 Å, b = 7.8463 Å, c = 7.7215 Å
α = 90.00°, β = 125.96°, γ = 90.00°
Space group C2/m (No. 12)
Symmetry-distinct sites (fractional):
Ba 0.0000 0.0000 0.0000 [2 per cell]
Ba 0.2500 0.2500 0.0000 [4 per cell]
Ac 0.0000 0.5000 0.5000 [2 per cell]
Ac 0.2500 0.2500 0.5000 [4 per cell]
Au 0.0000 0.0000 0.5000 [2 per cell]
O 0.0148 0.2839 0.2650 [8 per cell]
O 0.2101 0.0000 0.6860 [4 per cell]
O 0.2459 0.5000 0.7306 [4 per cell]

=====

5.
First-principles (GGA-PBE) data for crystalline BaAcAuO4 at its relaxed geometry, as listed in Alexandria via LeMat-Bulk.

Properties
Formation energy from raw total energies, eV per atom: -1.864
Crystal system: orthorhombic

a = 6.6402 Å, b = 7.6148 Å, c = 11.6145 Å
α = 90.00°, β = 90.00°, γ = 90.00°
Space group Imma (No. 74)
Symmetry-distinct sites (fractional):
Ba 0.0000 0.2500 0.1790 [4 per cell]
Ac 0.0000 0.0000 0.5000 [4 per cell]
Au 0.2500 0.2500 0.7500 [4 per cell]
O 0.0000 0.0842 0.7280 [8 per cell]
O 0.2133 0.2500 0.4487 [8 per cell]

=====

6.
First-principles (GGA-PBE) data for crystalline Ba2AcAu2O6 at its relaxed geometry, as listed in Alexandria via LeMat-Bulk.

Properties
Formation energy from raw total energies, eV per atom: -1.498
Crystal system: trigonal

a = 6.4589 Å, b = 6.4589 Å, c = 19.2421 Å
α = 90.00°, β = 90.00°, γ = 120.00°
Space group R-3m (No. 166, hexagonal axes)
Symmetry-distinct sites (fractional):
Ba 0.0000 0.0000 0.2038 [6 per cell]
Ac 0.0000 0.0000 0.0000 [3 per cell]
Au 0.0000 0.0000 0.4218 [6 per cell]
O 0.0345 0.5172 0.7609 [18 per cell]

=====

7.
First-principles (GGA-PBE) data for crystalline Ba2AcAuO5 at its relaxed geometry, as listed in Alexandria via LeMat-Bulk.

Properties
Formation energy from raw total energies, eV per atom: -2.022
Crystal system: tetragonal

a = 7.0003 Å, b = 7.0003 Å, c = 6.4365 Å
α = 90.00°, β = 90.00°, γ = 90.00°
Space group P4/mbm (No. 127)
Symmetry-distinct sites (fractional):
Ba 0.1691 0.3309 0.0000 [4 per cell]
Ac 0.0000 0.0000 0.5000 [2 per cell]
Au 0.0000 0.5000 0.5000 [2 per cell]
O 0.0000 0.0000 0.0000 [2 per cell]
O 0.1556 0.6556 0.2965 [8 per cell]

=====

8.
First-principles (GGA-PBE) data for crystalline BaAc3Au4O12 at its relaxed geometry, as listed in Alexandria via LeMat-Bulk.

Properties
Formation energy from raw total energies, eV per atom: -1.292
Crystal system: trigonal

a = 12.1345 Å, b = 12.1345 Å, c = 9.8887 Å
α = 90.00°, β = 90.00°, γ = 120.00°
Space group R32 (No. 155, hexagonal axes)
Symmetry-distinct sites (fractional):
Ba 0.0000 0.0000 0.0000 [3 per cell]
Ac 0.0000 0.5473 0.0000 [9 per cell]
Au 0.0000 0.0000 0.5000 [3 per cell]
Au 0.0000 0.4407 0.5000 [9 per cell]
O 0.0000 0.6074 0.5000 [9 per cell]
O 0.0000 0.8346 0.5000 [9 per cell]
O 0.0273 0.1830 0.1894 [18 per cell]

=====

9.
First-principles (GGA-PBE) data for crystalline BaAcPbAu at its relaxed geometry, as listed in Alexandria via LeMat-Bulk.

Properties
Crystal system: cubic
Calculated formation energy, kcal/mol of atoms: -14.181

a = 8.2250 Å, b = 8.2250 Å, c = 8.2250 Å
α = 90.00°, β = 90.00°, γ = 90.00°
Space group F-43m (No. 216)
Symmetry-distinct sites (fractional):
Ba 0.0000 0.0000 0.0000 [4 per cell]
Ac 0.0000 0.0000 0.5000 [4 per cell]
Pb 0.2500 0.2500 0.7500 [4 per cell]
Au 0.2500 0.2500 0.2500 [4 per cell]

=====

10.
First-principles (GGA-PBE) data for crystalline BaAcRhAu at its relaxed geometry, as listed in Alexandria via LeMat-Bulk.

Properties
Crystal system: orthorhombic
Calculated formation energy, kcal/mol of atoms: -13.532
Energy above the most stable polymorph in this dataset, meV per atom: 0.0

a = 4.5007 Å, b = 4.2920 Å, c = 12.3704 Å
α = 90.00°, β = 90.00°, γ = 90.00°
Space group Amm2 (No. 38)
Symmetry-distinct sites (fractional):
Ba 0.0000 0.0000 0.0000 [2 per cell]
Ac 0.5000 0.0000 0.2781 [2 per cell]
Rh 0.0000 0.0000 0.7377 [2 per cell]
Au 0.5000 0.0000 0.5764 [2 per cell]

=====

11.
First-principles (GGA-PBE) data for crystalline BaAcRhAu at its relaxed geometry, as listed in Alexandria via LeMat-Bulk.

Properties
Crystal system: cubic
Calculated formation energy, kcal/mol of atoms: -11.252
Energy above the most stable polymorph in this dataset, meV per atom: 98.9

a = 7.6843 Å, b = 7.6843 Å, c = 7.6843 Å
α = 90.00°, β = 90.00°, γ = 90.00°
Space group F-43m (No. 216)
Symmetry-distinct sites (fractional):
Ba 0.0000 0.0000 0.0000 [4 per cell]
Ac 0.0000 0.0000 0.5000 [4 per cell]
Rh 0.2500 0.2500 0.7500 [4 per cell]
Au 0.2500 0.2500 0.2500 [4 per cell]

=====

12.
First-principles (GGA-PBE) data for crystalline BaAcSb2Au2 at its relaxed geometry, as listed in Alexandria via LeMat-Bulk.

Properties
Formation energy from raw total energies, eV per atom: -0.920
Crystal system: trigonal

a = 4.7762 Å, b = 4.7762 Å, c = 9.3364 Å
α = 90.00°, β = 90.00°, γ = 120.00°
Space group P-3m1 (No. 164)
Symmetry-distinct sites (fractional):
Ba 0.0000 0.0000 0.0000 [1 per cell]
Ac 0.0000 0.0000 0.5000 [1 per cell]
Sb 0.3333 0.6667 0.2499 [2 per cell]
Au 0.3333 0.6667 0.7109 [2 per cell]

=====

Number 1: total moment 0.0 Bohr magnetons per cell. Number 2: total moment 0.0 Bohr magnetons per cell. Number 3: total moment 1.0 Bohr magnetons per cell. Number 4: total moment 0.0 Bohr magnetons per cell. Number 5: total moment 0.0 Bohr magnetons per cell. Number 6: total moment 9.2 Bohr magnetons per cell. Number 7: total moment 0.0 Bohr magnetons per cell. Number 8: total moment 7.2 Bohr magnetons per cell. Number 9: total moment 0.0 Bohr magnetons per cell. Number 10: total moment 0.0 Bohr magnetons per cell. Number 11: total moment 0.0 Bohr magnetons per cell. Number 12: total moment 0.0 Bohr magnetons per cell.